Cs3Cd2Hg2Bi4: relaxed, GGA-PBE.

ΔE_f   -23.5 kJ per mole of atoms
Magnetization   0.00 Bohr magnetons per cell

Cell lengths 5.002, 5.002, 21.759 Å; angles 90.00, 90.00, 120.00 degrees
Element x y z (fractional)
Cs 0.000 0.000 0.000
Cs 0.000 0.000 0.283
Cs 0.000 0.000 0.717
Cd 0.333 0.667 0.545
Cd 0.667 0.333 0.455
Hg 0.333 0.667 0.149
Hg 0.667 0.333 0.851
Bi 0.333 0.667 0.407
Bi 0.333 0.667 0.865
Bi 0.667 0.333 0.135
Bi 0.667 0.333 0.593